# 1
ScMn3Nb2: optimized geometry, PBE.

Summary:
E_form in kJ/mol of formula units: -29
ρ in g/cm³: 7.31
M_tot in μB/cell: 1.33
Electronic total energy in eV per atom: -9.046

a b c (Å): 3.0949 3.0949 9.3761
angles (deg): 90.00 90.00 90.00
Last column: nearest neighbours and their distance in Å.
Space group P4/mmm (No. 123)
Unique sites:
Sc 0.0000 0.0000 0.0000 [1 per cell]  8 Mn 2.79, 4 Sc 3.09
Mn 0.5000 0.5000 0.1847 [2 per cell]  4 Nb 2.60, 4 Sc 2.79
Mn 0.5000 0.5000 0.5000 [1 per cell]  8 Nb 2.69, 2 Mn 2.96
Nb 0.0000 0.0000 0.3334 [2 per cell]  8 Mn 2.60-2.69

# 2
Sc2MnNb: optimized geometry, PBE.

Summary:
E_form in kJ/mol of formula units: 202
ρ in g/cm³: 5.08
Energy above the lowest structure with this stoichiometry in eV/atom: 0.100
M_tot in μB/cell: 7.92
Electronic total energy in eV per atom: -7.451

a b c (Å): 7.4266 7.4266 5.6323
angles (deg): 90.00 90.00 90.00
Last column: nearest neighbours and their distance in Å.
Space group I-42d (No. 122)
Unique sites:
Sc 0.2170 0.7500 0.1250 [8 per cell]  2 Mn 2.56, 2 Sc 2.86
Mn 0.0000 0.0000 0.0000 [4 per cell]  4 Sc 2.56, 2 Nb 2.82
Nb 0.0000 0.0000 0.5000 [4 per cell]  2 Mn 2.82, 4 Sc 2.89